Compound: Hf3MoS
Source: Alexandria
Functional: GGA-PBEsol
Structure: relaxed

The space group is Pm-3m (No. 221) and the conventional cell measures 4.929, 4.929 and 4.929 Å, with angles of 90.00, 90.00 and 90.00 degrees. The distinct sites, in fractional coordinates, are Hf at (0.000, 0.000, 0.500), Mo at (0.000, 0.000, 0.000) and S at (0.500, 0.500, 0.500).

For the density, the calculation gives 9.199 Mg/m³. The calculation puts the electronic total energy at -43.3 eV/cell.